[1]
PrNd2SmAs4 | GGA-PBE | relaxed

Unit cell a=8.534 b=8.534 c=12.069 alpha=90.00 beta=90.00 gamma=90.00
Space group Imma (No. 74)
Symmetry-distinct sites (fractional):
Pr 0.250 0.250 0.250
Nd 0.000 0.000 0.000
Nd 0.250 0.250 0.750
Sm 0.000 0.000 0.500
As 0.000 0.001 0.749
As 0.248 0.250 0.501

Output
energy = -6.2158 eV per atom
calculated formation energy = -1512 meV/atom

=====

[2]
CePuAlAu | GGA-PBE | relaxed

Unit cell a=5.584 b=3.071 c=10.499 alpha=90.00 beta=90.00 gamma=90.00
Space group Amm2 (No. 38)
Symmetry-distinct sites (fractional):
Ce 0.000 0.000 0.000
Pu 0.000 0.000 0.266
Al 0.500 0.000 0.138
Au 0.500 0.000 0.856

Output
energy = -6.8513 eV per atom
calculated formation energy = -30 meV/atom

=====

[3]
GeP | GGA-PBE | relaxed

Unit cell a=6.325 b=3.652 c=8.719 alpha=90.00 beta=104.22 gamma=90.00
Space group Cm (No. 8)
Symmetry-distinct sites (fractional):
Ge 0.000 0.000 0.000
Ge 0.101 0.000 0.296
P 0.291 0.000 0.874
P 0.477 0.000 0.422

Output
energy = -5.0085 eV per atom
calculated formation energy = 5 meV/atom

=====

[4]
Sm2TcNi | GGA-PBE | relaxed

Unit cell a=4.902 b=4.902 c=3.482 alpha=90.00 beta=90.00 gamma=90.00
Space group P4/mmm (No. 123)
Symmetry-distinct sites (fractional):
Sm 0.000 0.500 0.000
Tc 0.000 0.000 0.500
Ni 0.500 0.500 0.500

Output
energy = -6.3798 eV per atom
calculated formation energy = 17 meV/atom